Computed, not measured: crystalline YTaTe2 at its relaxed geometry at the GGA-PBE level of DFT.

a = 5.540 Å, b = 5.540 Å, c = 5.137 Å
α = 78.31°, β = 78.31°, γ = 38.43°
Atoms (fractional coordinates):
1 Ta 0.734 0.734 0.829
2 Te 0.013 0.013 0.928
3 Te 0.244 0.244 0.308
4 Y 0.508 0.508 0.435

Results
Calculated total energy   -6.541 eV per atom
Symmetry   No. 8
Distance to the lowest polymorph of the same formula   152 meV/atom
Fermi-level density of states   1.7 states/eV per cell
Uncorrected formation energy   -1.6 eV per formula unit